1.
Here is an optimized crystal structure of AgSn2Pt from Alexandria via LeMat-Bulk. Energies are from PBE.

Computed properties:
Formation energy, eV/atom: -0.10
E_tot, eV per formula unit: -17.32

Lattice parameters (Å, degrees): 9.3026 9.3026 9.3026 21.82 21.82 21.82
Positions (direct):
Ag  0.0000  0.0000  0.0000
Sn  0.0995  0.0995  0.0995
Sn  0.9005  0.9005  0.9005
Pt  0.5000  0.5000  0.5000

---

2.
Here is an optimized crystal structure of LaTlTc from Alexandria via LeMat-Bulk. Energies are from PBE.

Computed properties:
Formation energy, eV/atom: 0.36
E_tot, eV per formula unit: -16.59

Lattice parameters (Å, degrees): 4.8086 4.8086 4.8086 60.00 60.00 60.00
Positions (direct):
La  0.0000  0.0000  0.0000
Tl  0.5000  0.5000  0.5000
Tc  0.7500  0.7500  0.7500

---

3.
Here is an optimized crystal structure of BaPd3W from Alexandria via LeMat-Bulk. Energies are from PBE.

Computed properties:
Formation energy, eV/atom: 0.37
E_tot, eV per formula unit: -28.61

Lattice parameters (Å, degrees): 4.9909 4.9909 4.9909 90.00 90.00 90.00
Positions (direct):
Ba  0.0000  0.0000  0.0000
Pd  0.0000  0.5000  0.5000
Pd  0.5000  0.0000  0.5000
Pd  0.5000  0.5000  0.0000
W  0.5000  0.5000  0.5000

---

4.
Here is an optimized crystal structure of Li2MgTiO4 from Alexandria via LeMat-Bulk. Energies are from PBE.

Computed properties:
Uncorrected formation energy, eV/f.u.: -20.9
E_tot, eV per formula unit: -54.07

Lattice parameters (Å, degrees): 5.9437 5.9437 5.9437 119.94 119.42 90.55
Positions (direct):
Li  0.0000  0.0000  0.0000
Li  0.5000  0.0000  0.0000
Li  0.5000  0.0000  0.5000
Li  0.5000  0.5000  0.5000
Mg  0.0000  0.5000  0.5000
Mg  0.5000  0.5000  0.0000
Ti  0.0000  0.0000  0.5000
Ti  0.0000  0.5000  0.0000
O  0.2272  0.7492  0.4781
O  0.2289  0.2508  0.9781
O  0.2328  0.2418  0.5091
O  0.2328  0.7237  0.9909
O  0.7672  0.2763  0.0091
O  0.7672  0.7582  0.4909
O  0.7711  0.7492  0.0219
O  0.7728  0.2508  0.5219